Entry from the Alexandria database: an optimized crystal structure of KPrSmSbO6 (PBE).

Cell: 5.987 5.987 5.987 Å, 60.00 60.00 60.00°
Sites, in units of the cell vectors:
K  0.000  0.000  0.000
Pr  0.500  0.500  0.500
Sm  0.750  0.750  0.750
Sb  0.250  0.250  0.250
O  0.015  0.015  0.485
O  0.015  0.485  0.015
O  0.015  0.485  0.485
O  0.485  0.015  0.015
O  0.485  0.015  0.485
O  0.485  0.485  0.015

Computed properties:
* space group: F-43m (216)
* E: -0.499 Ry/atom
* density of states at the Fermi level: 0.0 states/eV/cell
* M_tot: 0.00 μB/cell